[1]
This record from Alexandria via LeMat-Bulk describes a relaxed structure of Ta4ZnS8. The functional is PBE-GGA.

Properties
Uncorrected formation energy   -1.009 eV/atom

Lattice parameters (Å, degrees): 7.1005 7.1005 7.1005 60.00 60.00 60.00
Atoms (fractional coordinates):
Ta: 0.1066 0.1066 0.1066
Ta: 0.1066 0.1066 0.6801
Ta: 0.1066 0.6801 0.1066
Ta: 0.6801 0.1066 0.1066
Zn: 0.5000 0.5000 0.5000
S: 0.3649 0.3649 0.3649
S: 0.3649 0.3649 0.9052
S: 0.3649 0.9052 0.3649
S: 0.3958 0.8681 0.8681
S: 0.8681 0.3958 0.8681
S: 0.8681 0.8681 0.3958
S: 0.8681 0.8681 0.8681
S: 0.9052 0.3649 0.3649

[2]
This record from Alexandria via LeMat-Bulk describes a relaxed structure of Pr8Os2Au. The functional is PBE-GGA.

Properties
Total DFT energy (no corrections)   -65.031 eV per formula unit

Lattice parameters (Å, degrees): 7.8563 7.8563 6.3156 99.81 99.81 113.00
Atoms (fractional coordinates):
Pr: 0.0000 0.0000 0.0000
Pr: 0.0226 0.2910 0.5972
Pr: 0.1410 0.5860 0.2019
Pr: 0.2910 0.0226 0.5972
Pr: 0.4437 0.7106 0.8030
Pr: 0.5860 0.1410 0.2019
Pr: 0.7106 0.4437 0.8030
Pr: 0.7374 0.7374 0.4017
Os: 0.0569 0.6774 0.6999
Os: 0.6774 0.0569 0.6999
Au: 0.3668 0.3668 0.3620

- What is the formula in the first record?
  Ta4ZnS8